# 1
A relaxed structure of SiTe6Au2. Source: Alexandria, functional PBE.

Results
The space group is C2/c, No. 15. The value obtained for the formation energy without anion corrections is 0.07 eV/atom.

extended XYZ file:
```
18
Lattice="7.239 -5.158 0.000 7.239 5.158 0.000 -2.702 0.000 7.523" Properties=species:S:1:pos:R:3 pbc="T T T"
Si 5.212 3.090 5.642
Si 6.563 -3.090 1.881
Te 1.565 0.776 1.136
Te 4.453 3.089 2.980
Te 0.214 -0.776 4.897
Te 8.673 3.089 0.781
Te 3.716 0.710 6.066
Te 5.067 -0.710 2.304
Te 6.709 0.710 5.218
Te 8.060 -0.710 1.457
Te 3.102 -3.089 6.741
Te 11.562 0.776 2.625
Te 7.323 -3.089 4.543
Te 10.211 -0.776 6.387
Au 2.714 0.739 3.572
Au 1.363 -0.739 7.333
Au 10.412 0.739 0.190
Au 9.061 -0.739 3.951
```

***

# 2
A relaxed structure of SiTeAu3. Source: Alexandria, functional PBE.

Results
The space group is C2/c, No. 15. The value obtained for the formation energy without anion corrections is 0.11 eV/atom. The calculation puts the energy above the most stable polymorph in this dataset at 0 meV/atom.

extended XYZ file:
```
20
Lattice="6.469 -4.406 0.000 6.469 4.406 0.000 -2.250 0.000 7.351" Properties=species:S:1:pos:R:3 pbc="T T T"
Si 3.619 2.367 5.235
Si 5.943 2.367 5.792
Si 4.744 -2.367 1.559
Si 7.068 -2.367 2.116
Te 5.906 3.548 1.838
Te 5.906 0.447 1.838
Te 4.781 -0.447 5.513
Te 4.781 -3.548 5.513
Au 3.304 2.533 2.853
Au 2.186 1.031 0.552
Au 2.329 0.465 6.556
Au 1.061 -1.031 4.227
Au 3.454 -0.465 2.880
Au 8.509 2.533 0.822
Au 2.179 -2.533 6.529
Au 7.233 0.465 4.471
Au 9.627 1.031 3.124
Au 8.358 -0.465 0.795
Au 8.502 -1.031 6.799
Au 7.384 -2.533 4.498
```

***

# 3
A relaxed structure of SiTe4Au. Source: Alexandria, functional PBE.

Results
The space group is C2/c, No. 15. The value obtained for the formation energy without anion corrections is 0.05 eV/atom. The calculation puts the energy above the most stable polymorph in this dataset at 0 meV/atom.

extended XYZ file:
```
12
Lattice="3.939 -7.150 0.000 3.939 7.150 0.000 -3.633 0.000 6.069" Properties=species:S:1:pos:R:3 pbc="T T T"
Si 1.214 6.184 4.552
Si 3.030 -6.184 1.517
Te 1.030 2.786 1.393
Te -0.764 0.913 4.316
Te 1.053 -0.913 1.282
Te -0.787 -2.786 4.428
Te 5.031 2.786 1.642
Te 3.191 0.913 4.788
Te 5.008 -0.913 1.753
Te 3.214 -2.786 4.677
Au 3.030 0.949 1.517
Au 1.214 -0.949 4.552
```

***

# 4
A relaxed structure of SiTeAu. Source: Alexandria, functional PBE.

Results
The space group is F-43m, No. 216. The value obtained for the formation energy without anion corrections is 0.35 eV/atom. The calculation puts the energy above the most stable polymorph in this dataset at 371 meV/atom.

extended XYZ file:
```
3
Lattice="0.000 3.322 3.322 3.322 0.000 3.322 3.322 3.322 0.000" Properties=species:S:1:pos:R:3 pbc="T T T"
Si 0.000 0.000 0.000
Te 3.322 3.322 3.322
Au 1.661 1.661 1.661
```

***

# 5
A relaxed structure of SiTeAu. Source: Alexandria, functional PBE.

Results
The space group is F-43m, No. 216. The value obtained for the formation energy without anion corrections is 0.39 eV/atom. The calculation puts the energy above the most stable polymorph in this dataset at 409 meV/atom.

extended XYZ file:
```
3
Lattice="0.000 3.291 3.291 3.291 0.000 3.291 3.291 3.291 0.000" Properties=species:S:1:pos:R:3 pbc="T T T"
Si 0.000 0.000 0.000
Te 1.645 1.645 1.645
Au 4.936 4.936 4.936
```

***

# 6
A relaxed structure of SiTeAu. Source: Alexandria, functional PBE.

Results
The space group is Imm2, No. 44. The value obtained for the formation energy without anion corrections is 0.08 eV/atom. The calculation puts the energy above the most stable polymorph in this dataset at 105 meV/atom.

extended XYZ file:
```
3
Lattice="-1.532 1.950 6.278 1.532 -1.950 6.278 1.532 1.950 -6.278" Properties=species:S:1:pos:R:3 pbc="T T T"
Si 0.000 0.000 0.000
Te 0.000 0.000 9.971
Au 0.000 0.000 6.850
```

***

# 7
A relaxed structure of SiTe4Au. Source: Alexandria, functional PBE.

Results
The space group is F-43m, No. 216. The value obtained for the formation energy without anion corrections is 0.82 eV/atom. The calculation puts the energy above the most stable polymorph in this dataset at 766 meV/atom.

extended XYZ file:
```
6
Lattice="0.000 4.421 4.421 4.421 0.000 4.421 4.421 4.421 0.000" Properties=species:S:1:pos:R:3 pbc="T T T"
Si 0.000 0.000 0.000
Te 5.525 3.317 3.317
Te 3.317 5.525 3.317
Te 3.317 3.317 5.525
Te 5.525 5.525 5.525
Au 2.210 2.210 2.210
```

***

# 8
A relaxed structure of SiTe3Au. Source: Alexandria, functional PBE.

Results
The space group is Pm-3m, No. 221. The value obtained for the formation energy without anion corrections is 0.66 eV/atom. The calculation puts the energy above the most stable polymorph in this dataset at 562 meV/atom.

extended XYZ file:
```
5
Lattice="5.237 0.000 0.000 0.000 5.237 0.000 0.000 0.000 5.237" Properties=species:S:1:pos:R:3 pbc="T T T"
Si 0.000 0.000 0.000
Te 0.000 0.000 2.619
Te 0.000 2.619 0.000
Te 2.619 0.000 0.000
Au 2.619 2.619 2.619
```